DFT (PBE) results for CaSCl after structural relaxation.

## Properties
- Magnetic moment: 0.00 Bohr magnetons per cell
- Symmetry: No. 38
- Raw total energy: -13.5 eV/f.u.

Cell and atoms, written as CIF:
```
data_CaSCl
_space_group_name_H-M_alt 'P 1'
_space_group_IT_number 1
_cell_length_a 5.1988
_cell_length_b 4.0728
_cell_length_c 13.1351
_cell_angle_alpha 90.00
_cell_angle_beta 90.00
_cell_angle_gamma 90.00
loop_
_space_group_symop_operation_xyz
'x,y,z'
loop_
_atom_site_label
_atom_site_type_symbol
_atom_site_fract_x
_atom_site_fract_y
_atom_site_fract_z
Ca1 Ca 0.0000 0.0000 0.0000
Ca2 Ca 0.0000 0.5000 0.5000
Ca3 Ca 0.5000 0.0000 0.2616
Ca4 Ca 0.5000 0.5000 0.7616
S1 S 0.2042 0.0000 0.6362
S2 S 0.2042 0.5000 0.1362
S3 S 0.7958 0.0000 0.6362
S4 S 0.7958 0.5000 0.1362
Cl1 Cl 0.0000 0.0000 0.3513
Cl2 Cl 0.0000 0.5000 0.8513
Cl3 Cl 0.5000 0.0000 0.9128
Cl4 Cl 0.5000 0.5000 0.4128
```

DFT (PBE) results for Ti4ZnIr3 after structural relaxation.

## Properties
- Magnetic moment: 0.00 Bohr magnetons per cell
- Symmetry: No. 69
- Calculated formation energy: -0.6885 eV per atom

Cell and atoms, written as CIF:
```
data_Ti4ZnIr3
_space_group_name_H-M_alt 'P 1'
_space_group_IT_number 1
_cell_length_a 6.8095
_cell_length_b 6.5516
_cell_length_c 4.5860
_cell_angle_alpha 72.98
_cell_angle_beta 66.93
_cell_angle_gamma 40.09
loop_
_space_group_symop_operation_xyz
'x,y,z'
loop_
_atom_site_label
_atom_site_type_symbol
_atom_site_fract_x
_atom_site_fract_y
_atom_site_fract_z
Ti1 Ti 0.1261 0.1261 0.3739
Ti2 Ti 0.3739 0.3739 0.1261
Ti3 Ti 0.6261 0.6261 0.8739
Ti4 Ti 0.8739 0.8739 0.6261
Zn1 Zn 0.0000 0.0000 0.0000
Ir1 Ir 0.2453 0.2453 0.7547
Ir2 Ir 0.5000 0.5000 0.5000
Ir3 Ir 0.7547 0.7547 0.2453
```

DFT (PBE) results for NaPtSe2N after structural relaxation.

## Properties
- Magnetic moment: 2.81 Bohr magnetons per cell
- Symmetry: No. 123
- Distance to the lowest polymorph of the same formula: 1424 meV per atom

Cell and atoms, written as CIF:
```
data_NaPtSe2N
_space_group_name_H-M_alt 'P 1'
_space_group_IT_number 1
_cell_length_a 5.0698
_cell_length_b 5.0698
_cell_length_c 4.0420
_cell_angle_alpha 90.00
_cell_angle_beta 90.00
_cell_angle_gamma 90.00
loop_
_space_group_symop_operation_xyz
'x,y,z'
loop_
_atom_site_label
_atom_site_type_symbol
_atom_site_fract_x
_atom_site_fract_y
_atom_site_fract_z
Na1 Na 0.0000 0.0000 0.0000
Pt1 Pt 0.5000 0.5000 0.5000
Se1 Se 0.0000 0.5000 0.0000
Se2 Se 0.5000 0.0000 0.0000
N1 N 0.0000 0.0000 0.5000
```

DFT (PBE) results for Mg2PbCl after structural relaxation.

## Properties
- Magnetic moment: 0.00 Bohr magnetons per cell
- Symmetry: No. 99
- Distance to the lowest polymorph of the same formula: 84 meV per atom

Cell and atoms, written as CIF:
```
data_Mg2PbCl
_space_group_name_H-M_alt 'P 1'
_space_group_IT_number 1
_cell_length_a 3.2544
_cell_length_b 3.2544
_cell_length_c 10.1609
_cell_angle_alpha 90.00
_cell_angle_beta 90.00
_cell_angle_gamma 90.00
loop_
_space_group_symop_operation_xyz
'x,y,z'
loop_
_atom_site_label
_atom_site_type_symbol
_atom_site_fract_x
_atom_site_fract_y
_atom_site_fract_z
Mg1 Mg 0.0000 0.0000 0.0000
Mg2 Mg 0.5000 0.5000 0.2318
Pb1 Pb 0.0000 0.0000 0.4717
Cl1 Cl 0.5000 0.5000 0.8626
```

DFT (PBE) results for SrAlS3 after structural relaxation.

## Properties
- Magnetic moment: 0.00 Bohr magnetons per cell
- Symmetry: No. 14
- Distance to the lowest polymorph of the same formula: 0 meV per atom

Cell and atoms, written as CIF:
```
data_SrAlS3
_space_group_name_H-M_alt 'P 1'
_space_group_IT_number 1
_cell_length_a 6.6946
_cell_length_b 7.1618
_cell_length_c 11.3405
_cell_angle_alpha 90.00
_cell_angle_beta 103.69
_cell_angle_gamma 90.00
loop_
_space_group_symop_operation_xyz
'x,y,z'
loop_
_atom_site_label
_atom_site_type_symbol
_atom_site_fract_x
_atom_site_fract_y
_atom_site_fract_z
Sr1 Sr 0.1124 0.1585 0.3737
Sr2 Sr 0.1124 0.3415 0.8737
Sr3 Sr 0.8876 0.6585 0.1263
Sr4 Sr 0.8876 0.8415 0.6263
Al1 Al 0.3718 0.6674 0.4508
Al2 Al 0.3718 0.8326 0.9508
Al3 Al 0.6282 0.1674 0.0492
Al4 Al 0.6282 0.3326 0.5492
S1 S 0.0378 0.7397 0.3983
S2 S 0.0378 0.7603 0.8983
S3 S 0.4628 0.0856 0.8564
S4 S 0.4628 0.4144 0.3564
S5 S 0.4725 0.0532 0.5832
S6 S 0.4725 0.4468 0.0832
S7 S 0.5275 0.5532 0.9168
S8 S 0.5275 0.9468 0.4168
S9 S 0.5372 0.5856 0.6436
S10 S 0.5372 0.9144 0.1436
S11 S 0.9622 0.2397 0.1017
S12 S 0.9622 0.2603 0.6017
```

DFT (PBE) results for GaAsRuO6 after structural relaxation.

## Properties
- Magnetic moment: 4.04 Bohr magnetons per cell
- Symmetry: No. 102
- Raw total energy: -57.9 eV/f.u.

Cell and atoms, written as CIF:
```
data_GaAsRuO6
_space_group_name_H-M_alt 'P 1'
_space_group_IT_number 1
_cell_length_a 4.5361
_cell_length_b 4.5361
_cell_length_c 9.0490
_cell_angle_alpha 90.00
_cell_angle_beta 90.00
_cell_angle_gamma 90.00
loop_
_space_group_symop_operation_xyz
'x,y,z'
loop_
_atom_site_label
_atom_site_type_symbol
_atom_site_fract_x
_atom_site_fract_y
_atom_site_fract_z
Ga1 Ga 0.0000 0.0000 0.0000
Ga2 Ga 0.5000 0.5000 0.5000
As1 As 0.0000 0.0000 0.3327
As2 As 0.5000 0.5000 0.8327
Ru1 Ru 0.0000 0.0000 0.6665
Ru2 Ru 0.5000 0.5000 0.1665
O1 O 0.1891 0.1891 0.1737
O2 O 0.1894 0.1894 0.4937
O3 O 0.2033 0.2033 0.8362
O4 O 0.2967 0.7033 0.3362
O5 O 0.3109 0.6891 0.6737
O6 O 0.3106 0.6894 0.9937
O7 O 0.6891 0.3109 0.6737
O8 O 0.6894 0.3106 0.9937
O9 O 0.7033 0.2967 0.3362
O10 O 0.7967 0.7967 0.8362
O11 O 0.8109 0.8109 0.1737
O12 O 0.8106 0.8106 0.4937
```

DFT (PBE) results for BaIr2 after structural relaxation.

## Properties
- Magnetic moment: 0.00 Bohr magnetons per cell
- Symmetry: No. 140
- Calculated formation energy: 0.0424 eV per atom

Cell and atoms, written as CIF:
```
data_BaIr2
_space_group_name_H-M_alt 'P 1'
_space_group_IT_number 1
_cell_length_a 5.1381
_cell_length_b 5.1381
_cell_length_c 10.8717
_cell_angle_alpha 90.00
_cell_angle_beta 90.00
_cell_angle_gamma 90.00
loop_
_space_group_symop_operation_xyz
'x,y,z'
loop_
_atom_site_label
_atom_site_type_symbol
_atom_site_fract_x
_atom_site_fract_y
_atom_site_fract_z
Ba1 Ba 0.0000 0.0000 0.2500
Ba2 Ba 0.0000 0.0000 0.7500
Ba3 Ba 0.5000 0.5000 0.2500
Ba4 Ba 0.5000 0.5000 0.7500
Ir1 Ir 0.1775 0.3225 0.0000
Ir2 Ir 0.1775 0.6775 0.5000
Ir3 Ir 0.3225 0.1775 0.5000
Ir4 Ir 0.3225 0.8225 0.0000
Ir5 Ir 0.6775 0.1775 0.0000
Ir6 Ir 0.6775 0.8225 0.5000
Ir7 Ir 0.8225 0.3225 0.5000
Ir8 Ir 0.8225 0.6775 0.0000
```

DFT (PBE) results for Ac2TbSmS6 after structural relaxation.

## Properties
- Magnetic moment: 0.00 Bohr magnetons per cell
- Symmetry: No. 146
- Raw total energy: -63.3 eV/f.u.

Cell and atoms, written as CIF:
```
data_Ac2TbSmS6
_space_group_name_H-M_alt 'P 1'
_space_group_IT_number 1
_cell_length_a 7.5534
_cell_length_b 7.5534
_cell_length_c 7.5534
_cell_angle_alpha 57.96
_cell_angle_beta 57.96
_cell_angle_gamma 57.96
loop_
_space_group_symop_operation_xyz
'x,y,z'
loop_
_atom_site_label
_atom_site_type_symbol
_atom_site_fract_x
_atom_site_fract_y
_atom_site_fract_z
Ac1 Ac 0.0000 0.0000 0.0000
Ac2 Ac 0.4993 0.4993 0.4993
Tb1 Tb 0.7125 0.7125 0.7125
Sm1 Sm 0.2136 0.2136 0.2136
S1 S 0.0743 0.4275 0.8427
S2 S 0.3457 0.9220 0.5796
S3 S 0.4275 0.8427 0.0743
S4 S 0.5796 0.3457 0.9220
S5 S 0.8427 0.0743 0.4275
S6 S 0.9220 0.5796 0.3457
```

DFT (PBE) results for KTlIr2 after structural relaxation.

## Properties
- Magnetic moment: 0.00 Bohr magnetons per cell
- Symmetry: No. 44
- Distance to the lowest polymorph of the same formula: 332 meV per atom
- Calculated formation energy: 0.6441 eV per atom

Cell and atoms, written as CIF:
```
data_KTlIr2
_space_group_name_H-M_alt 'P 1'
_space_group_IT_number 1
_cell_length_a 2.8347
_cell_length_b 5.4361
_cell_length_c 11.4546
_cell_angle_alpha 90.00
_cell_angle_beta 90.00
_cell_angle_gamma 90.00
loop_
_space_group_symop_operation_xyz
'x,y,z'
loop_
_atom_site_label
_atom_site_type_symbol
_atom_site_fract_x
_atom_site_fract_y
_atom_site_fract_z
K1 K 0.0000 0.0000 0.0000
K2 K 0.5000 0.5000 0.5000
Tl1 Tl 0.0000 0.5000 0.2019
Tl2 Tl 0.5000 0.0000 0.7019
Ir1 Ir 0.0000 0.0000 0.4794
Ir2 Ir 0.0000 0.5000 0.7959
Ir3 Ir 0.5000 0.0000 0.2959
Ir4 Ir 0.5000 0.5000 0.9794
```

DFT (PBE) results for TaAl2Zn2 after structural relaxation.

## Properties
- Magnetic moment: 0.00 Bohr magnetons per cell
- Symmetry: No. 127
- Distance to the lowest polymorph of the same formula: 68 meV per atom
- Calculated formation energy: 0.1034 eV per atom

Cell and atoms, written as CIF:
```
data_TaAl2Zn2
_space_group_name_H-M_alt 'P 1'
_space_group_IT_number 1
_cell_length_a 7.2660
_cell_length_b 7.2660
_cell_length_c 3.0052
_cell_angle_alpha 90.00
_cell_angle_beta 90.00
_cell_angle_gamma 90.00
loop_
_space_group_symop_operation_xyz
'x,y,z'
loop_
_atom_site_label
_atom_site_type_symbol
_atom_site_fract_x
_atom_site_fract_y
_atom_site_fract_z
Ta1 Ta 0.0000 0.0000 0.0000
Ta2 Ta 0.5000 0.5000 0.0000
Al1 Al 0.1353 0.3647 0.0000
Al2 Al 0.3647 0.8647 0.0000
Al3 Al 0.6353 0.1353 0.0000
Al4 Al 0.8647 0.6353 0.0000
Zn1 Zn 0.1638 0.6638 0.5000
Zn2 Zn 0.3362 0.1638 0.5000
Zn3 Zn 0.6638 0.8362 0.5000
Zn4 Zn 0.8362 0.3362 0.5000
```

DFT (PBE) results for Ba3Pr2PaAs6 after structural relaxation.

## Properties
- Magnetic moment: 0.00 Bohr magnetons per cell
- Symmetry: No. 12
- Calculated formation energy: -1.1999 eV per atom

Cell and atoms, written as CIF:
```
data_Ba3Pr2PaAs6
_space_group_name_H-M_alt 'P 1'
_space_group_IT_number 1
_cell_length_a 7.6793
_cell_length_b 7.6793
_cell_length_c 7.9276
_cell_angle_alpha 99.31
_cell_angle_beta 99.31
_cell_angle_gamma 120.03
loop_
_space_group_symop_operation_xyz
'x,y,z'
loop_
_atom_site_label
_atom_site_type_symbol
_atom_site_fract_x
_atom_site_fract_y
_atom_site_fract_z
Ba1 Ba 0.0000 0.0000 0.0000
Ba2 Ba 0.3297 0.6703 0.0000
Ba3 Ba 0.6703 0.3297 0.0000
Pr1 Pr 0.1661 0.8339 0.5000
Pr2 Pr 0.8339 0.1661 0.5000
Pa1 Pa 0.5000 0.5000 0.5000
As1 As 0.1136 0.4302 0.2899
As2 As 0.2551 0.2551 0.7120
As3 As 0.4302 0.1136 0.2899
As4 As 0.5698 0.8864 0.7101
As5 As 0.7449 0.7449 0.2880
As6 As 0.8864 0.5698 0.7101
```

DFT (PBE) results for LiScSb2O8 after structural relaxation.

## Properties
- Magnetic moment: 2.00 Bohr magnetons per cell
- Symmetry: No. 147
- Raw total energy: -71.2 eV/f.u.

Cell and atoms, written as CIF:
```
data_LiScSb2O8
_space_group_name_H-M_alt 'P 1'
_space_group_IT_number 1
_cell_length_a 5.6418
_cell_length_b 5.6418
_cell_length_c 6.4532
_cell_angle_alpha 90.00
_cell_angle_beta 90.00
_cell_angle_gamma 120.00
loop_
_space_group_symop_operation_xyz
'x,y,z'
loop_
_atom_site_label
_atom_site_type_symbol
_atom_site_fract_x
_atom_site_fract_y
_atom_site_fract_z
Li1 Li 0.0000 0.0000 0.0000
Sc1 Sc 0.0000 0.0000 0.5000
Sb1 Sb 0.3333 0.6667 0.4442
Sb2 Sb 0.6667 0.3333 0.5558
O1 O 0.0504 0.3624 0.6372
O2 O 0.3120 0.9496 0.6372
O3 O 0.3333 0.6667 0.1357
O4 O 0.3624 0.3120 0.3628
O5 O 0.6376 0.6880 0.6372
O6 O 0.6667 0.3333 0.8643
O7 O 0.6880 0.0504 0.3628
O8 O 0.9496 0.6376 0.3628
```